# 1
First-principles (PBE) data for an optimized crystal structure of NaAl2TcMo, as listed in the Alexandria database.

Results
Relative energy among the computed polymorphs in eV per formula unit: 3.40
Formation enthalpy at 0 K in eV/atom: 1.255
Mass density in Mg/m³: 4.11
Calculated volume in Å³/cell: 109.4

Lattice parameters (Å, degrees): 4.681 4.681 4.993 90.00 90.00 90.00
Sites, in units of the cell vectors:
Na: 0.000 0.000 0.000
Al: 0.000 0.500 0.500
Al: 0.500 0.000 0.500
Tc: 0.000 0.000 0.500
Mo: 0.500 0.500 0.000

# 2
First-principles (PBE) data for an optimized crystal structure of Y3InO, as listed in the Alexandria database.

Results
Formation energy without anion corrections in eV per atom: -0.667
Mass density in Mg/m³: 3.71
Calculated volume in Å³/cell: 177.9

Lattice parameters (Å, degrees): 3.366 8.588 8.588 45.79 90.00 90.00
Sites, in units of the cell vectors:
Y: 0.000 0.000 0.000
Y: 0.500 0.079 0.598
Y: 0.500 0.598 0.079
In: 0.500 0.175 0.175
O: 0.000 0.840 0.840

# 3
First-principles (PBE) data for an optimized crystal structure of Sm6P3Se2Br, as listed in the Alexandria database.

Results
Formation energy without anion corrections in eV per atom: -1.692
Mass density in Mg/m³: 6.70
Calculated volume in Å³/cell: 305.7

Lattice parameters (Å, degrees): 9.372 9.372 8.424 104.80 104.80 25.35
Sites, in units of the cell vectors:
Sm: 0.005 0.005 0.223
Sm: 0.323 0.323 0.426
Sm: 0.337 0.337 0.905
Sm: 0.663 0.663 0.095
Sm: 0.677 0.677 0.574
Sm: 0.995 0.995 0.777
P: 0.165 0.165 0.333
P: 0.500 0.500 0.000
P: 0.835 0.835 0.667
Se: 0.165 0.165 0.829
Se: 0.835 0.835 0.171
Br: 0.500 0.500 0.500

# 4
First-principles (PBE) data for an optimized crystal structure of LaNdIn2Te4, as listed in the Alexandria database.

Results
Formation energy without anion corrections in eV per atom: -1.029
Mass density in Mg/m³: 5.78
Calculated volume in Å³/cell: 293.9

Lattice parameters (Å, degrees): 7.923 4.576 8.525 90.00 108.02 90.00
Sites, in units of the cell vectors:
La: 0.000 0.000 0.000
Nd: 0.500 0.500 0.000
In: 0.000 0.500 0.500
In: 0.500 0.000 0.500
Te: 0.246 0.500 0.228
Te: 0.262 0.000 0.774
Te: 0.738 0.000 0.226
Te: 0.754 0.500 0.772

# 5
First-principles (PBE) data for an optimized crystal structure of CsLaTiSe4, as listed in the Alexandria database.

Results
Formation energy without anion corrections in eV per atom: -1.535
Mass density in Mg/m³: 4.40
Calculated volume in Å³/cell: 479.9

Lattice parameters (Å, degrees): 7.113 7.128 9.964 90.00 108.21 90.00
Sites, in units of the cell vectors:
Cs: 0.229 0.250 0.437
Cs: 0.771 0.750 0.563
La: 0.276 0.250 0.954
La: 0.724 0.750 0.046
Ti: 0.281 0.750 0.169
Ti: 0.719 0.250 0.831
Se: 0.076 0.750 0.318
Se: 0.079 0.750 0.931
Se: 0.490 0.507 0.795
Se: 0.490 0.993 0.795
Se: 0.510 0.007 0.205
Se: 0.510 0.493 0.205
Se: 0.921 0.250 0.069
Se: 0.924 0.250 0.682

# 6
First-principles (PBE) data for an optimized crystal structure of TlVPAu2, as listed in the Alexandria database.

Results
Formation enthalpy at 0 K in eV/atom: 1.163
Mass density in Mg/m³: 9.08
Calculated volume in Å³/cell: 124.4

Lattice parameters (Å, degrees): 4.872 4.872 5.240 90.00 90.00 90.00
Sites, in units of the cell vectors:
Tl: 0.000 0.000 0.000
V: 0.000 0.000 0.500
P: 0.500 0.500 0.000
Au: 0.000 0.500 0.500
Au: 0.500 0.000 0.500

# 7
First-principles (PBE) data for an optimized crystal structure of ZrScPb2, as listed in the Alexandria database.

Results
Relative energy among the computed polymorphs in eV per formula unit: 1.00
Formation enthalpy at 0 K in eV/atom: -0.015
Mass density in Mg/m³: 8.34
Calculated volume in Å³/cell: 109.6

Lattice parameters (Å, degrees): 11.716 11.716 11.716 16.23 16.23 16.23
Sites, in units of the cell vectors:
Zr: 0.000 0.000 0.000
Sc: 0.263 0.263 0.263
Pb: 0.515 0.515 0.515
Pb: 0.747 0.747 0.747

# 8
First-principles (PBE) data for an optimized crystal structure of Pd5Pb6, as listed in the Alexandria database.

Results
Relative energy among the computed polymorphs in eV per formula unit: 0.22
Formation enthalpy at 0 K in eV/atom: -0.140
Mass density in Mg/m³: 11.14
Calculated volume in Å³/cell: 264.7

Lattice parameters (Å, degrees): 6.654 6.654 7.714 95.98 95.98 127.14
Sites, in units of the cell vectors:
Pd: 0.000 0.000 0.000
Pd: 0.202 0.798 0.500
Pd: 0.384 0.616 0.000
Pd: 0.616 0.384 0.000
Pd: 0.798 0.202 0.500
Pb: 0.019 0.384 0.208
Pb: 0.236 0.236 0.683
Pb: 0.384 0.019 0.208
Pb: 0.616 0.981 0.792
Pb: 0.764 0.764 0.317
Pb: 0.981 0.616 0.792